(1)
{
  "formula": "Na3Pu2TeSe6",
  "functional": "PBE",
  "state": "relaxed",
  "crystal_system": "monoclinic",
  "space_group": "C2/m",
  "lattice": [[7.298, 0.005, 0.008], [-3.643, 6.324, 0.008], [-1.212, -2.098, 6.955]],
  "species": ["Se", "Se", "Se", "Se", "Se", "Se", "Na", "Na", "Na", "Te", "Pu", "Pu"],
  "fractional_positions": [[0.408, 0.078, 0.233], [0.254, 0.254, 0.770], [0.078, 0.408, 0.233], [0.922, 0.592, 0.767], [0.746, 0.746, 0.230], [0.592, 0.922, 0.767], [0.839, 0.161, 0.500], [0.161, 0.839, 0.500], [0.500, 0.500, 0.500], [0.000, 0.000, 0.000], [0.333, 0.667, 0.000], [0.667, 0.333, 0.000]]
}

***

(2)
{
  "formula": "NaPuTeSe",
  "functional": "PBE",
  "state": "relaxed",
  "crystal_system": "trigonal",
  "space_group": "R3m",
  "lattice": [[4.341, 0.000, 0.000], [2.170, 3.759, 0.000], [2.170, 1.253, 7.217]],
  "species": ["Te", "Pu", "Se", "Na"],
  "fractional_positions": [[0.745, 0.745, 0.766], [0.993, 0.993, 0.022], [0.257, 0.257, 0.228], [0.505, 0.505, 0.484]]
}

***

(3)
{
  "formula": "Na2PuTeSe4",
  "functional": "PBE",
  "state": "relaxed",
  "crystal_system": "monoclinic",
  "space_group": "P2/m",
  "lattice": [[4.075, 0.000, 0.000], [0.000, 8.972, -0.602], [0.000, -3.828, 6.591]],
  "species": ["Pu", "Se", "Se", "Se", "Se", "Na", "Na", "Te"],
  "fractional_positions": [[0.500, 0.500, 0.000], [0.000, 0.298, 0.708], [0.000, 0.702, 0.292], [0.500, 0.738, 0.857], [0.500, 0.262, 0.143], [0.500, 0.000, 0.500], [0.000, 0.500, 0.500], [0.000, 0.000, 0.000]]
}

***

(4)
{
  "formula": "Na4Pu3TeSe8",
  "functional": "PBE",
  "state": "relaxed",
  "crystal_system": "monoclinic",
  "space_group": "C2/m",
  "lattice": [[8.379, 0.000, 0.000], [0.000, 8.419, 0.001], [-4.190, -4.203, 6.194]],
  "species": ["Se", "Se", "Se", "Se", "Se", "Se", "Se", "Se", "Na", "Na", "Na", "Na", "Pu", "Pu", "Pu", "Te"],
  "fractional_positions": [[0.261, 0.271, 0.521], [0.767, 0.276, 0.020], [0.233, 0.724, 0.980], [0.747, 0.724, 0.980], [0.269, 0.750, 0.538], [0.253, 0.276, 0.020], [0.731, 0.250, 0.462], [0.739, 0.729, 0.479], [0.500, 0.000, 0.500], [0.500, 0.000, 0.000], [0.000, 0.000, 0.000], [0.000, 0.000, 0.500], [0.500, 0.500, 0.000], [0.500, 0.500, 0.500], [0.000, 0.500, 0.500], [0.000, 0.500, 0.000]]
}

***

(5)
{
  "formula": "Na3PuTe2Se6",
  "functional": "PBE",
  "state": "relaxed",
  "crystal_system": "monoclinic",
  "space_group": "C2/m",
  "lattice": [[-7.309, -0.190, 0.598], [3.562, -0.288, 6.406], [1.198, 6.932, -2.125]],
  "species": ["Te", "Te", "Se", "Se", "Se", "Se", "Se", "Se", "Na", "Na", "Na", "Pu"],
  "fractional_positions": [[0.328, 0.672, 0.000], [0.672, 0.328, 0.000], [0.046, 0.392, 0.240], [0.608, 0.954, 0.760], [0.954, 0.608, 0.760], [0.256, 0.256, 0.784], [0.744, 0.744, 0.216], [0.392, 0.046, 0.240], [0.500, 0.500, 0.500], [0.831, 0.169, 0.500], [0.169, 0.831, 0.500], [0.000, 0.000, 0.000]]
}

***

(6)
{
  "formula": "Na3PuTh2Se6",
  "functional": "PBE",
  "state": "relaxed",
  "crystal_system": "monoclinic",
  "space_group": "C2/m",
  "lattice": [[7.309, -0.001, 0.000], [-3.653, 6.331, 0.000], [-1.219, -2.111, 7.085]],
  "species": ["Se", "Se", "Se", "Se", "Se", "Se", "Na", "Na", "Na", "Th", "Th", "Pu"],
  "fractional_positions": [[0.743, 0.743, 0.239], [0.584, 0.920, 0.761], [0.920, 0.584, 0.761], [0.257, 0.257, 0.761], [0.416, 0.080, 0.239], [0.080, 0.416, 0.239], [0.500, 0.500, 0.500], [0.834, 0.166, 0.500], [0.166, 0.834, 0.500], [0.333, 0.667, 0.000], [0.667, 0.333, 0.000], [0.000, 0.000, 0.000]]
}

***

no.,E_form (uncorrected) (eV per atom)
1,-1.027
2,-1.223
3,-0.876
4,-1.103
5,-0.685
6,-1.484